{
  "formula": "Rb2VMoAu",
  "functional": "PBE",
  "state": "relaxed",
  "lattice": [[6.476, 0.000, 0.000], [0.000, 5.101, 0.000], [0.000, 0.000, 6.476]],
  "species": ["Rb", "Rb", "Mo", "Au", "V"],
  "fractional_positions": [[0.000, 0.000, 0.500], [0.500, 0.000, 0.000], [0.500, 0.500, 0.500], [0.000, 0.000, 0.000], [0.000, 0.500, 0.000]],
  "formation_enthalpy_0k_ev_per_atom": 1.685,
  "n_ef_per_ev_fu": 10.06
}